VASP calculation (SCAN) on NdGePt at its PBEsol-relaxed geometry.

Cell lengths 5.699, 5.699, 7.196 Å; angles 128.42, 128.42, 44.95 degrees
Fractional coordinates of all 6 atoms:
Nd1 0.052 0.052 0.315
Nd2 0.948 0.948 0.685
Ge1 0.338 0.338 0.911
Ge2 0.662 0.662 0.089
Pt1 0.323 0.323 0.280
Pt2 0.677 0.677 0.720

Calculated values
D(E_F) = 2.54 states/eV per cell
ΔE_f = -3.68 eV per formula unit
spin magnetization = 0.0 μB per formula unit
space-group type = No. 12
raw total energy = -45.51 eV per atom